(1)
AlRh3 SCAN PBEsol geometry; spin magnetization = 0.000 μB/f.u.; symmetry = Imm2; formation energy from the elements = -550 meV/atom
1.0
-0.776 1.118 -2.374
-3.770 -2.661 -0.020
0.135 3.786 3.317
Rh Al
3 1
Direct
0.745 0.407 0.490
0.255 0.917 0.510
0.500 0.506 0.000
0.000 0.003 0.000

---

(2)
AlRh3 SCAN PBEsol geometry; spin magnetization = 0.000 μB/f.u.; symmetry = I4/mmm; formation energy from the elements = -587 meV/atom
1.0
-2.992 1.242 2.003
-0.815 -3.583 1.005
4.058 1.522 1.496
Al Rh
1 3
Direct
0.000 0.000 0.000
0.500 0.500 0.000
0.750 0.250 0.500
0.250 0.750 0.500

---

(3)
Al5Rh2 SCAN PBEsol geometry; spin magnetization = 0.000 μB/f.u.; symmetry = P6_3/mmc; formation energy from the elements = -905 meV/atom
1.0
7.825 0.000 0.000
0.000 7.876 0.000
0.000 -3.938 6.821
Al Rh
20 8
Direct
0.058 0.193 0.385
0.250 0.529 0.059
0.442 0.615 0.807
0.558 0.807 0.615
0.750 0.471 0.941
0.942 0.807 0.615
0.942 0.807 0.193
0.500 0.000 0.000
0.250 0.529 0.471
0.250 0.941 0.471
0.000 0.000 0.000
0.442 0.193 0.385
0.750 0.471 0.529
0.442 0.193 0.807
0.558 0.385 0.193
0.558 0.807 0.193
0.942 0.385 0.193
0.058 0.193 0.807
0.058 0.615 0.807
0.750 0.059 0.529
0.250 0.258 0.129
0.750 0.667 0.333
0.250 0.871 0.742
0.750 0.742 0.871
0.250 0.871 0.129
0.750 0.129 0.871
0.750 0.129 0.258
0.250 0.333 0.667

---

(4)
AlRh3 SCAN PBEsol geometry; spin magnetization = 0.000 μB/f.u.; symmetry = Pmmm; formation energy from the elements = -496 meV/atom
1.0
2.739 0.000 0.000
0.000 3.686 0.000
0.000 0.000 5.351
Rh Al
3 1
Direct
0.500 0.500 0.751
0.000 0.000 0.500
0.500 0.500 0.249
0.000 0.000 0.000